PBE+U NaCd2MoO6, optimized geometry; uncorrected energy = -5.220 eV/atom; magnetic moment = 0.106 μB per atom
1.0
5.5498 0.0000 0.0000
0.0000 5.7308 0.0000
-5.4450 0.0000 8.5646
Na Cd Mo O
2 4 2 12
Cartesian
0.0000 0.0000 0.0000
-2.7225 2.8654 4.2823
-2.6492 0.1832 6.2063
0.0733 2.6822 1.9240
0.0316 3.0485 6.6405
2.7541 5.5476 2.3582
0.0524 0.0000 4.2823
2.7749 2.8654 0.0000
-0.6787 0.6970 2.5780
-3.4012 2.1684 6.8603
1.1701 3.8560 0.2565
-1.5524 4.7402 4.5388
1.9289 1.3745 0.9609
-0.7936 1.4909 5.2432
0.8985 4.2399 3.3213
-1.8240 4.3563 7.6036
1.6572 0.9906 4.0258
-1.0653 1.8748 8.3081
3.5061 3.5624 1.7043
0.7836 5.0338 5.9866